1.
Material: PmTh2Fe
Method: DFT, PBE-GGA
State: optimized geometry

Geometry as POSCAR:
```
PmTh2Fe
1.0
-0.6996 2.9104 1.8426
-3.4313 -0.4236 -0.6337
-0.7578 -4.8189 7.3238
Fe Th Pm
1 2 1
direct
0.5000 0.5000 0.0000 Fe
0.0000 0.0000 0.8066 Th
0.0000 0.0000 0.1934 Th
0.5000 0.5000 0.5000 Pm
```

## Properties
E in eV per atom: -6.90
V in A^3/atom: 27.18
Energy relative to the lowest polymorph listed for this composition in eV/atom: 0.156
Mass density in g/cm3: 10.2

***

2.
Material: PmTh3Fe
Method: DFT, PBE-GGA
State: optimized geometry

Geometry as POSCAR:
```
PmTh3Fe
1.0
5.3350 0.0000 0.0000
0.0000 5.3350 0.0000
0.0000 0.0000 5.3350
Th Fe Pm
3 1 1
direct
0.0000 0.5000 0.0000 Th
0.0000 0.0000 0.5000 Th
0.5000 0.0000 0.0000 Th
0.0000 0.0000 0.0000 Fe
0.5000 0.5000 0.5000 Pm
```

## Properties
E in eV per atom: -7.03
V in A^3/atom: 30.37
Mass density in g/cm3: 9.8

***

3.
Material: PmTh2Fe
Method: DFT, PBE-GGA
State: optimized geometry

Geometry as POSCAR:
```
PmTh2Fe
1.0
-3.5211 -5.0052 1.7060
-1.3799 -1.3325 -6.7577
7.8794 -5.7079 -0.4835
Fe Pm Th
4 4 8
direct
0.3768 0.9026 0.2500 Fe
0.8768 0.5974 0.7500 Fe
0.6232 0.0974 0.7500 Fe
0.1232 0.4026 0.2500 Fe
0.3535 0.4519 0.7500 Pm
0.8535 0.0481 0.2500 Pm
0.6465 0.5481 0.2500 Pm
0.1465 0.9519 0.7500 Pm
0.1710 0.6686 0.4312 Th
0.3290 0.1686 0.0688 Th
0.6710 0.8314 0.9312 Th
0.3290 0.1686 0.4312 Th
0.8290 0.3314 0.5688 Th
0.8290 0.3314 0.9312 Th
0.1710 0.6686 0.0688 Th
0.6710 0.8314 0.5688 Th
```

## Properties
E in eV per atom: -7.06
V in A^3/atom: 27.17
Energy relative to the lowest polymorph listed for this composition in eV/atom: 0.000
Mass density in g/cm3: 10.2

***

4.
Material: PmTh2Fe
Method: DFT, PBE-GGA
State: optimized geometry

Geometry as POSCAR:
```
PmTh2Fe
1.0
-1.6668 3.0283 1.7503
-3.7384 -0.1602 1.0055
0.4825 -2.3874 8.8785
Th Pm Fe
2 1 1
direct
0.0568 0.0568 0.8295 Th
0.2772 0.2772 0.1683 Th
0.5004 0.5004 0.4986 Pm
0.6655 0.6655 0.0035 Fe
```

## Properties
E in eV per atom: -6.98
V in A^3/atom: 29.03
Energy relative to the lowest polymorph listed for this composition in eV/atom: 0.081
Mass density in g/cm3: 9.5

***

5.
Material: PmThZnFe
Method: DFT, PBE-GGA
State: optimized geometry

Geometry as POSCAR:
```
PmThZnFe
1.0
-2.4952 -4.0049 -1.8281
0.3920 -1.2049 -4.8992
2.5442 -4.1477 -1.3898
Zn Pm Th Fe
1 1 1 1
direct
0.5000 0.5000 0.5000 Zn
0.2500 0.2500 0.2500 Pm
0.7500 0.7500 0.7500 Th
0.0000 0.0000 0.0000 Fe
```

## Properties
E in eV per atom: -5.46
V in A^3/atom: 22.91
Mass density in g/cm3: 9.0

***

6.
Material: PmTi2Fe9
Method: DFT, PBE-GGA
State: optimized geometry

Geometry as POSCAR:
```
PmTi2Fe9
1.0
4.7112 0.0000 1.4021
2.1470 4.1936 1.4021
0.0794 0.0486 8.3492
Fe Pm Ti
9 1 2
direct
0.4108 0.9166 0.2619 Fe
0.5892 0.0834 0.7381 Fe
0.3331 0.3331 0.0006 Fe
0.5892 0.5892 0.7381 Fe
0.5000 0.5000 0.5000 Fe
0.9166 0.4108 0.2619 Fe
0.0834 0.5892 0.7381 Fe
0.4108 0.4108 0.2619 Fe
0.6669 0.6669 0.9994 Fe
0.0000 0.0000 0.0000 Pm
0.8545 0.8545 0.4365 Ti
0.1455 0.1455 0.5635 Ti
```

## Properties
E in eV per atom: -8.19
V in A^3/atom: 13.69
Mass density in g/cm3: 7.5

***

7.
Material: Pm4TlFe
Method: DFT, PBE-GGA
State: optimized geometry

Geometry as POSCAR:
```
Pm4TlFe
1.0
-3.0309 5.1033 0.6728
-6.2269 -3.6399 -0.4428
4.6368 -1.6948 7.6914
Pm Tl Fe
8 2 2
direct
0.6161 0.8777 0.2411 Pm
0.3839 0.1223 0.7589 Pm
0.3839 0.6366 0.7589 Pm
0.8029 0.3162 0.6324 Pm
0.6161 0.3634 0.2411 Pm
0.1971 0.6838 0.3676 Pm
0.0000 0.7714 0.0000 Pm
0.0000 0.2286 0.0000 Pm
0.8058 0.8058 0.6117 Tl
0.1942 0.1942 0.3883 Tl
0.3327 0.5144 0.0288 Fe
0.6673 0.4856 0.9712 Fe
```

## Properties
E in eV per atom: -5.08
V in A^3/atom: 28.29
Mass density in g/cm3: 8.2

***

8.
Material: Pm12Tl6Fe
Method: DFT, PBE-GGA
State: optimized geometry

Geometry as POSCAR:
```
Pm12Tl6Fe
1.0
-4.8453 6.1876 3.2134
-6.4507 -5.4341 -0.9733
2.2751 -3.0488 7.5906
Pm Tl Fe
12 6 1
direct
0.5762 0.4578 0.7996 Pm
0.0211 0.9204 0.6906 Pm
0.5422 0.2004 0.4238 Pm
0.0796 0.3094 0.9789 Pm
0.4578 0.7996 0.5762 Pm
0.2004 0.4238 0.5422 Pm
0.9789 0.0796 0.3094 Pm
0.7996 0.5762 0.4578 Pm
0.3094 0.9789 0.0796 Pm
0.6906 0.0211 0.9204 Pm
0.9204 0.6906 0.0211 Pm
0.4238 0.5422 0.2004 Pm
0.1395 0.7317 0.3474 Tl
0.8605 0.2683 0.6526 Tl
0.6526 0.8605 0.2683 Tl
0.3474 0.1395 0.7317 Tl
0.2683 0.6526 0.8605 Tl
0.7317 0.3474 0.1395 Tl
0.0000 0.0000 0.0000 Fe
```

## Properties
E in eV per atom: -4.32
V in A^3/atom: 31.92
Mass density in g/cm3: 8.3

***

9.
Material: Pm6TlFe2
Method: DFT, PBE-GGA
State: optimized geometry

Geometry as POSCAR:
```
Pm6TlFe2
1.0
-1.5757 -2.8812 -8.0323
-6.5829 -2.2566 5.1841
0.6521 8.6488 0.2739
Pm Fe Tl
12 4 2
direct
0.2971 0.3112 0.6083 Pm
0.7029 0.3112 0.0141 Pm
0.1027 0.8118 0.2909 Pm
0.7844 0.5600 0.7756 Pm
0.2156 0.9912 0.7756 Pm
0.2156 0.4400 0.2244 Pm
0.7844 0.0088 0.2244 Pm
0.7029 0.6888 0.3917 Pm
0.8973 0.1882 0.7091 Pm
0.4791 0.1882 0.2909 Pm
0.2971 0.6888 0.9859 Pm
0.5209 0.8118 0.7091 Pm
0.6092 0.6092 0.0000 Fe
0.5000 0.1058 0.6058 Fe
0.5000 0.8942 0.3942 Fe
0.3908 0.3908 0.0000 Fe
0.0000 0.5000 0.5000 Tl
0.0000 0.0000 0.0000 Tl
```

## Properties
E in eV per atom: -5.38
V in A^3/atom: 27.90
Mass density in g/cm3: 7.8

***

10.
Material: Pm2TlFe
Method: DFT, PBE-GGA
State: optimized geometry

Geometry as POSCAR:
```
Pm2TlFe
1.0
3.5420 0.0000 0.0000
0.0000 3.5420 0.0000
0.0000 0.0000 8.1213
Pm Tl Fe
2 1 1
direct
0.0000 0.0000 0.7910 Pm
0.0000 0.0000 0.2090 Pm
0.5000 0.5000 0.5000 Tl
0.5000 0.5000 0.0000 Fe
```

## Properties
E in eV per atom: -5.13
V in A^3/atom: 25.47
Mass density in g/cm3: 9.0

***

11.
Material: PmTmFe
Method: DFT, PBE-GGA
State: optimized geometry

Geometry as POSCAR:
```
PmTmFe
1.0
-2.9479 1.2074 1.0113
-1.1661 -0.2305 -3.1237
0.0085 -6.5018 2.2646
Tm Fe Pm
1 1 1
direct
0.0434 0.0434 0.0868 Tm
0.6624 0.6624 0.3249 Fe
0.2942 0.2942 0.5884 Pm
```

## Properties
E in eV per atom: -5.81
V in A^3/atom: 24.08
Energy relative to the lowest polymorph listed for this composition in eV/atom: 0.046
Mass density in g/cm3: 8.5

***

12.
Material: Pm2TmFe
Method: DFT, PBE-GGA
State: optimized geometry

Geometry as POSCAR:
```
Pm2TmFe
1.0
3.4418 0.0000 0.0000
1.7209 2.9807 0.0000
1.7209 0.9936 10.8813
Pm Fe Tm
2 1 1
direct
0.0766 0.0766 0.7702 Pm
0.9234 0.9234 0.2298 Pm
0.0000 0.0000 0.0000 Fe
0.5000 0.5000 0.5000 Tm
```

## Properties
E in eV per atom: -5.00
V in A^3/atom: 27.91
Mass density in g/cm3: 7.7

***

13.
Material: PmTm3Fe
Method: DFT, PBE-GGA
State: optimized geometry

Geometry as POSCAR:
```
PmTm3Fe
1.0
3.5975 0.0000 0.0000
0.0000 7.8573 -4.6862
0.0000 -1.1282 10.3519
Fe Tm Pm
2 6 2
direct
0.2500 0.4097 0.9423 Fe
0.7500 0.5903 0.0577 Fe
0.7500 0.2098 0.0067 Tm
0.2500 0.6106 0.2845 Tm
0.2500 0.7902 0.9933 Tm
0.7500 0.3894 0.7155 Tm
0.7500 0.9577 0.3362 Tm
0.2500 0.0423 0.6638 Tm
0.7500 0.7048 0.6400 Pm
0.2500 0.2952 0.3600 Pm
```

## Properties
E in eV per atom: -5.32
V in A^3/atom: 27.36
Energy relative to the lowest polymorph listed for this composition in eV/atom: 0.000
Mass density in g/cm3: 8.6

***

14.
Material: PmTm3Fe
Method: DFT, PBE-GGA
State: optimized geometry

Geometry as POSCAR:
```
PmTm3Fe
1.0
-2.0126 0.9049 -4.7272
-4.5725 -1.9590 1.5717
-1.5025 4.7497 1.5488
Tm Pm Fe
3 1 1
direct
0.0000 0.0000 0.5000 Tm
0.5000 0.0000 0.0000 Tm
0.0000 0.5000 0.0000 Tm
0.5000 0.5000 0.5000 Pm
0.0000 0.0000 0.0000 Fe
```

## Properties
E in eV per atom: -5.26
V in A^3/atom: 28.40
Energy relative to the lowest polymorph listed for this composition in eV/atom: 0.062
Mass density in g/cm3: 8.3

***

15.
Material: PmTmFe4
Method: DFT, PBE-GGA
State: optimized geometry

Geometry as POSCAR:
```
PmTmFe4
1.0
-1.1614 0.5161 -5.0074
0.9268 -3.8822 -3.2801
-3.9349 -2.6642 -2.0269
Fe Tm Pm
4 1 1
direct
0.6254 0.1239 0.6254 Fe
0.6254 0.6254 0.1239 Fe
0.1239 0.6254 0.6254 Fe
0.6254 0.6254 0.6254 Fe
0.0000 0.0000 0.0000 Tm
0.2500 0.2500 0.2500 Pm
```

## Properties
E in eV per atom: -7.22
V in A^3/atom: 16.25
Mass density in g/cm3: 9.2

***

16.
Material: Pm2TmFe9
Method: DFT, PBE-GGA
State: optimized geometry

Geometry as POSCAR:
```
Pm2TmFe9
1.0
-5.0071 -0.3402 -1.0265
-2.1373 -4.5792 -0.8385
-3.9817 -2.3664 7.4249
Fe Pm Tm
9 2 1
direct
0.4221 0.4221 0.2381 Fe
0.3328 0.3328 0.0015 Fe
0.5779 0.0822 0.7619 Fe
0.5000 0.5000 0.5000 Fe
0.4221 0.9178 0.2381 Fe
0.9178 0.4221 0.2381 Fe
0.6672 0.6672 0.9985 Fe
0.5779 0.5779 0.7619 Fe
0.0822 0.5779 0.7619 Fe
0.8588 0.8588 0.4237 Pm
0.1412 0.1412 0.5763 Pm
0.0000 0.0000 0.0000 Tm
```

## Properties
E in eV per atom: -7.53
V in A^3/atom: 15.60
Mass density in g/cm3: 8.5

***

17.
Material: PmTmFe
Method: DFT, PBE-GGA
State: optimized geometry

Geometry as POSCAR:
```
PmTmFe
1.0
6.8749 0.0000 0.0000
-3.4374 6.0254 0.0000
0.0000 0.0000 7.3023
Fe Tm Pm
4 4 4
direct
0.4097 0.8193 0.4585 Fe
0.5903 0.1807 0.5415 Fe
0.9097 0.8193 0.0415 Fe
0.0903 0.1807 0.9585 Fe
0.2087 0.9173 0.7500 Tm
0.7913 0.0827 0.2500 Tm
0.2913 0.0827 0.2500 Tm
0.7087 0.9173 0.7500 Tm
0.8024 0.6047 0.3873 Pm
0.3024 0.6047 0.1127 Pm
0.6976 0.3953 0.8873 Pm
0.1976 0.3953 0.6127 Pm
```

## Properties
E in eV per atom: -5.85
V in A^3/atom: 25.21
Energy relative to the lowest polymorph listed for this composition in eV/atom: 0.000
Mass density in g/cm3: 8.1

***

18.
Material: PmTmZnFe
Method: DFT, PBE-GGA
State: optimized geometry

Geometry as POSCAR:
```
PmTmZnFe
1.0
4.9400 0.0000 0.0000
2.4700 4.2782 0.0000
2.4700 1.4261 4.0335
Fe Zn Tm Pm
1 1 1 1
direct
0.5000 0.5000 0.5000 Fe
0.0000 0.0000 0.0000 Zn
0.2500 0.2500 0.2500 Tm
0.7500 0.7500 0.7500 Pm
```

## Properties
E in eV per atom: -4.79
V in A^3/atom: 21.31
Mass density in g/cm3: 8.5

***

19.
Material: PmUFe
Method: DFT, PBE-GGA
State: optimized geometry

Geometry as POSCAR:
```
PmUFe
1.0
-0.9433 -3.2059 -0.7164
2.7726 2.2193 -5.4299
3.1808 -2.7313 8.0346
Fe U Pm
2 2 2
direct
0.6341 0.2682 0.4129 Fe
0.3659 0.7318 0.5871 Fe
0.9601 0.9202 0.8222 U
0.0399 0.0798 0.1778 U
0.8170 0.6340 0.2667 Pm
0.1830 0.3660 0.7333 Pm
```

## Properties
E in eV per atom: -8.10
V in A^3/atom: 22.41
Mass density in g/cm3: 10.8

***

20.
Material: PmUFe2
Method: DFT, PBE-GGA
State: optimized geometry

Geometry as POSCAR:
```
PmUFe2
1.0
-0.4137 4.2262 -0.9692
-5.0562 0.7455 5.4088
6.9861 2.1146 6.2392
Fe Pm U
8 4 4
direct
0.7500 0.7002 0.6869 Fe
0.7500 0.2002 0.8131 Fe
0.2500 0.7998 0.1869 Fe
0.2500 0.8115 0.5703 Fe
0.7500 0.1885 0.4297 Fe
0.7500 0.6885 0.0703 Fe
0.2500 0.3115 0.9297 Fe
0.2500 0.2998 0.3131 Fe
0.2500 0.9032 0.8767 Pm
0.2500 0.4032 0.6233 Pm
0.7500 0.0968 0.1233 Pm
0.7500 0.5968 0.3767 Pm
0.2500 0.4418 0.1242 U
0.7500 0.0582 0.6242 U
0.7500 0.5582 0.8758 U
0.2500 0.9418 0.3758 U
```

## Properties
E in eV per atom: -8.38
V in A^3/atom: 19.45
Energy relative to the lowest polymorph listed for this composition in eV/atom: 0.000
Mass density in g/cm3: 10.6

***

21.
Material: PmU2Fe9
Method: DFT, PBE-GGA
State: optimized geometry

Geometry as POSCAR:
```
PmU2Fe9
1.0
-0.0776 4.9594 0.2918
-0.4556 2.2216 4.4208
8.0142 2.4746 2.3744
Fe U Pm
9 2 1
direct
0.5000 0.5000 0.5000 Fe
0.5820 0.0834 0.7526 Fe
0.4180 0.9166 0.2474 Fe
0.5820 0.5820 0.7526 Fe
0.3333 0.3333 0.0002 Fe
0.9166 0.4180 0.2474 Fe
0.4180 0.4180 0.2474 Fe
0.0834 0.5820 0.7526 Fe
0.6667 0.6667 0.9998 Fe
0.1471 0.1471 0.5588 U
0.8529 0.8529 0.4412 U
0.0000 0.0000 0.0000 Pm
```

## Properties
E in eV per atom: -8.66
V in A^3/atom: 14.67
Mass density in g/cm3: 10.6

***

22.
Material: PmUFe4
Method: DFT, PBE-GGA
State: optimized geometry

Geometry as POSCAR:
```
PmUFe4
1.0
5.1146 0.0000 0.0000
2.5573 4.4293 0.0000
2.5573 1.4764 4.1760
Pm U Fe
1 1 4
direct
0.0000 0.0000 0.0000 Pm
0.2500 0.2500 0.2500 U
0.6245 0.6245 0.1265 Fe
0.6245 0.6245 0.6245 Fe
0.6245 0.1265 0.6245 Fe
0.1265 0.6245 0.6245 Fe
```

## Properties
E in eV per atom: -8.25
V in A^3/atom: 15.77
Energy relative to the lowest polymorph listed for this composition in eV/atom: 0.000
Mass density in g/cm3: 10.6

***

23.
Material: PmUFe4
Method: DFT, PBE-GGA
State: optimized geometry

Geometry as POSCAR:
```
PmUFe4
1.0
-5.6239 -3.2172 2.1885
3.6151 -4.1104 3.2474
-3.6329 3.8246 2.6480
Pm Fe U
2 8 2
direct
0.1962 0.2060 0.4119 Pm
0.8038 0.7940 0.5881 Pm
0.0000 0.1782 0.0000 Fe
0.7208 0.2501 0.5003 Fe
0.2792 0.7499 0.4997 Fe
0.3985 0.6790 0.7941 Fe
0.3985 0.1151 0.7941 Fe
0.6015 0.8849 0.2059 Fe
0.0000 0.8218 0.0000 Fe
0.6015 0.3210 0.2059 Fe
0.7265 0.4740 0.9480 U
0.2735 0.5260 0.0520 U
```

## Properties
E in eV per atom: -8.25
V in A^3/atom: 16.45
Energy relative to the lowest polymorph listed for this composition in eV/atom: 0.002
Mass density in g/cm3: 10.2

***

24.
Material: PmUFe2
Method: DFT, PBE-GGA
State: optimized geometry

Geometry as POSCAR:
```
PmUFe2
1.0
-2.3475 0.2062 2.2299
1.0031 -2.7915 1.3142
4.3362 3.5524 4.2363
Fe U Pm
2 1 1
direct
0.0000 0.0000 0.1854 Fe
0.0000 0.0000 0.8146 Fe
0.5000 0.5000 0.0000 U
0.5000 0.5000 0.5000 Pm
```

## Properties
E in eV per atom: -8.20
V in A^3/atom: 18.49
Energy relative to the lowest polymorph listed for this composition in eV/atom: 0.182
Mass density in g/cm3: 11.1